Record 1
{"formula": "ZrAgPb2", "functional": "PBE", "state": "relaxed", "lattice_angstrom": [[-4.9602, 2.1743, 0.7395], [-4.4182, -0.0190, 3.2182], [0.9703, 4.3658, 3.6510]], "species": ["Ag", "Pb", "Pb", "Zr"], "frac_coords": [[0.2500, 0.2500, 0.2500], [0.5058, 0.5058, 0.5011], [0.9942, 0.9942, 0.9989], [0.7500, 0.7500, 0.7500]], "e_form_kj_per_mol_fu": 51, "final_energy_ev_per_fu": -18.28, "de_polymorph_kj_per_mol_atoms": 16.60}

=====

Record 2
{"formula": "ZrAgPb3", "functional": "PBE", "state": "relaxed", "lattice_angstrom": [[5.4037, 0.0000, 0.0000], [0.0000, 5.4037, 0.0000], [0.0000, 0.0000, 5.4037]], "species": ["Ag", "Pb", "Pb", "Pb", "Zr"], "frac_coords": [[0.0000, 0.0000, 0.0000], [0.0000, 0.0000, 0.5000], [0.5000, 0.0000, 0.0000], [0.0000, 0.5000, 0.0000], [0.5000, 0.5000, 0.5000]], "e_form_kj_per_mol_fu": 359, "final_energy_ev_per_fu": -18.80, "de_polymorph_kj_per_mol_atoms": 19.06}

=====

Record 3
{"formula": "ZrAgPb2", "functional": "PBE", "state": "relaxed", "lattice_angstrom": [[4.7783, 0.0000, 0.0000], [0.0000, 4.7996, 0.0000], [0.0000, 0.0000, 4.1228]], "species": ["Zr", "Pb", "Pb", "Ag"], "frac_coords": [[0.5000, 0.0000, 0.5000], [0.5000, 0.5000, 0.0000], [0.0000, 0.0000, 0.0000], [0.0000, 0.5000, 0.5000]], "e_form_kj_per_mol_fu": 2, "final_energy_ev_per_fu": -18.80, "de_polymorph_kj_per_mol_atoms": 4.25}

=====

Record 4
{"formula": "ZrAgPb2", "functional": "PBE", "state": "relaxed", "lattice_angstrom": [[-2.5159, -0.9053, 1.9638], [2.1579, -0.9560, 2.3315], [-0.1956, 8.4679, 3.6531]], "species": ["Pb", "Pb", "Zr", "Ag"], "frac_coords": [[0.0000, 0.0000, 0.9569], [0.5000, 0.5000, 0.2847], [0.0000, 0.0000, 0.5287], [0.5000, 0.5000, 0.7297]], "e_form_kj_per_mol_fu": 11, "final_energy_ev_per_fu": -18.70, "de_polymorph_kj_per_mol_atoms": 6.57}

=====

Record 5
{"formula": "ZrAgPb2", "functional": "PBE", "state": "relaxed", "lattice_angstrom": [[3.2317, 0.0000, 0.0000], [0.0000, 3.2317, 0.0000], [0.0000, 0.0000, 9.3804]], "species": ["Zr", "Ag", "Pb", "Pb"], "frac_coords": [[0.5000, 0.5000, 0.2500], [0.5000, 0.5000, 0.7500], [0.0000, 0.0000, 0.9971], [0.0000, 0.0000, 0.5029]], "e_form_kj_per_mol_fu": 40, "final_energy_ev_per_fu": -18.41, "de_polymorph_kj_per_mol_atoms": 13.63}

=====

Record 6
{"formula": "ZrAgPb3", "functional": "PBE", "state": "relaxed", "lattice_angstrom": [[5.6778, 0.0000, 0.0000], [0.0000, 5.6778, 0.0000], [0.0000, 0.0000, 5.6778]], "species": ["Zr", "Ag", "Pb", "Pb", "Pb"], "frac_coords": [[0.0000, 0.0000, 0.0000], [0.5000, 0.5000, 0.5000], [0.0000, 0.0000, 0.5000], [0.5000, 0.0000, 0.0000], [0.0000, 0.5000, 0.0000]], "e_form_kj_per_mol_fu": 264, "final_energy_ev_per_fu": -19.79, "de_polymorph_kj_per_mol_atoms": 0.00}